Sr2ZnP: optimized geometry, GGA-PBE.

The space group is Amm2 (No. 38) and the conventional cell measures 4.319, 4.509 and 11.567 Å, with angles of 90.00, 90.00 and 90.00 degrees. The inequivalent atoms are Sr at (0.000, 0.000, 0.000), Sr at (0.500, 0.000, 0.276), Zn at (0.500, 0.000, 0.571) and P at (0.000, 0.000, 0.712).

The total DFT energy (no corrections) is -25.3 eV/cell. Its density is 4.0 g cm⁻³. The calculation puts the formation energy at -2.6 eV per formula unit.